Record 1
Here is crystalline CsTcIrO6 at its relaxed geometry from Alexandria. Energies are from GGA-PBE.

**Formation energy without anion corrections**: -1195 meV per atom
**DOS at the Fermi energy**: 0.496 states/eV per atom

```
data_CsTcIrO6
_cell_length_a 5.365
_cell_length_b 5.364
_cell_length_c 6.575
_cell_angle_alpha 90.00
_cell_angle_beta 90.00
_cell_angle_gamma 60.00
_symmetry_space_group_name_H-M 'P 1'
_symmetry_Int_Tables_number 1
loop_
_symmetry_equiv_pos_as_xyz
'x,y,z'
loop_
_atom_site_label
_atom_site_type_symbol
_atom_site_fract_x
_atom_site_fract_y
_atom_site_fract_z
_atom_site_occupancy
O1 O 0.398 0.608 0.341 1
O2 O 0.608 0.995 0.341 1
O3 O 0.995 0.608 0.659 1
O4 O 0.995 0.398 0.341 1
O5 O 0.608 0.398 0.659 1
O6 O 0.398 0.995 0.659 1
Ir1 Ir 0.333 0.333 0.500 1
Cs1 Cs 0.000 0.000 0.000 1
Tc1 Tc 0.667 0.667 0.500 1
```

Record 2
Here is crystalline Dy2ThTc at its relaxed geometry from Alexandria. Energies are from GGA-PBE.

**Energy above the lowest structure with this stoichiometry**: 0.0435 eV per atom
**Calculated formation energy**: -0.12 eV/atom
**DOS at the Fermi energy**: 0.946 states/eV per atom

```
data_Dy2ThTc
_cell_length_a 3.922
_cell_length_b 6.308
_cell_length_c 9.431
_cell_angle_alpha 90.00
_cell_angle_beta 90.00
_cell_angle_gamma 108.11
_symmetry_space_group_name_H-M 'P 1'
_symmetry_Int_Tables_number 1
loop_
_symmetry_equiv_pos_as_xyz
'x,y,z'
loop_
_atom_site_label
_atom_site_type_symbol
_atom_site_fract_x
_atom_site_fract_y
_atom_site_fract_z
_atom_site_occupancy
Dy1 Dy 0.145 0.289 0.072 1
Dy2 Dy 0.855 0.711 0.928 1
Dy3 Dy 0.145 0.289 0.428 1
Dy4 Dy 0.855 0.711 0.572 1
Tc1 Tc 0.770 0.540 0.250 1
Tc2 Tc 0.230 0.460 0.750 1
Th1 Th 0.577 0.153 0.750 1
Th2 Th 0.423 0.847 0.250 1
```

Record 3
Here is crystalline La2Si4IrRh3 at its relaxed geometry from Alexandria. Energies are from GGA-PBE.

**Formation energy without anion corrections**: -1037 meV per atom
**DOS at the Fermi energy**: 0.658 states/eV per atom

```
data_La2Si4IrRh3
_cell_length_a 4.212
_cell_length_b 4.212
_cell_length_c 10.008
_cell_angle_alpha 90.00
_cell_angle_beta 90.00
_cell_angle_gamma 90.00
_symmetry_space_group_name_H-M 'P 1'
_symmetry_Int_Tables_number 1
loop_
_symmetry_equiv_pos_as_xyz
'x,y,z'
loop_
_atom_site_label
_atom_site_type_symbol
_atom_site_fract_x
_atom_site_fract_y
_atom_site_fract_z
_atom_site_occupancy
Si1 Si 0.000 0.500 0.373 1
Si2 Si 0.500 0.500 0.000 1
Si3 Si 0.500 0.000 0.627 1
Si4 Si 0.000 0.000 0.000 1
Rh1 Rh 0.000 0.000 0.500 1
Rh2 Rh 0.500 0.000 0.875 1
Rh3 Rh 0.000 0.500 0.125 1
La1 La 0.000 0.500 0.757 1
La2 La 0.500 0.000 0.243 1
Ir1 Ir 0.500 0.500 0.500 1
```

Record 4
Here is crystalline AcSmIn2 at its relaxed geometry from Alexandria. Energies are from GGA-PBE.

**Calculated formation energy**: -0.45 eV/atom
**DOS at the Fermi energy**: 0.633 states/eV per atom

```
data_AcSmIn2
_cell_length_a 3.970
_cell_length_b 3.970
_cell_length_c 7.916
_cell_angle_alpha 90.00
_cell_angle_beta 90.00
_cell_angle_gamma 90.00
_symmetry_space_group_name_H-M 'P 1'
_symmetry_Int_Tables_number 1
loop_
_symmetry_equiv_pos_as_xyz
'x,y,z'
loop_
_atom_site_label
_atom_site_type_symbol
_atom_site_fract_x
_atom_site_fract_y
_atom_site_fract_z
_atom_site_occupancy
Ac1 Ac 0.500 0.500 0.500 1
Sm1 Sm 0.500 0.500 0.000 1
In1 In 0.000 0.000 0.775 1
In2 In 0.000 0.000 0.225 1
```

Record 5
Here is crystalline Cs3RbMg2I8 at its relaxed geometry from Alexandria. Energies are from GGA-PBE.

**Formation energy without anion corrections**: -1303 meV per atom
**DOS at the Fermi energy**: 0.000 states/eV per atom

```
data_Cs3RbMg2I8
_cell_length_a 9.059
_cell_length_b 9.059
_cell_length_c 10.948
_cell_angle_alpha 90.00
_cell_angle_beta 90.00
_cell_angle_gamma 120.00
_symmetry_space_group_name_H-M 'P 1'
_symmetry_Int_Tables_number 1
loop_
_symmetry_equiv_pos_as_xyz
'x,y,z'
loop_
_atom_site_label
_atom_site_type_symbol
_atom_site_fract_x
_atom_site_fract_y
_atom_site_fract_z
_atom_site_occupancy
Mg1 Mg 0.667 0.333 0.806 1
Mg2 Mg 0.333 0.667 0.194 1
I1 I 0.346 0.173 0.704 1
I2 I 0.333 0.667 0.949 1
I3 I 0.827 0.654 0.704 1
I4 I 0.173 0.827 0.296 1
I5 I 0.173 0.346 0.296 1
I6 I 0.667 0.333 0.051 1
I7 I 0.827 0.173 0.704 1
I8 I 0.654 0.827 0.296 1
Cs1 Cs 0.667 0.333 0.392 1
Cs2 Cs 0.000 0.000 0.000 1
Cs3 Cs 0.333 0.667 0.608 1
Rb1 Rb 0.000 0.000 0.500 1
```

Record 6
Here is crystalline Rb6In at its relaxed geometry from Alexandria. Energies are from GGA-PBE.

**Calculated formation energy**: 0.51 eV/atom
**DOS at the Fermi energy**: 1.261 states/eV per atom

```
data_Rb6In
_cell_length_a 10.333
_cell_length_b 10.333
_cell_length_c 10.333
_cell_angle_alpha 109.47
_cell_angle_beta 109.47
_cell_angle_gamma 109.47
_symmetry_space_group_name_H-M 'P 1'
_symmetry_Int_Tables_number 1
loop_
_symmetry_equiv_pos_as_xyz
'x,y,z'
loop_
_atom_site_label
_atom_site_type_symbol
_atom_site_fract_x
_atom_site_fract_y
_atom_site_fract_z
_atom_site_occupancy
In1 In 0.000 0.000 0.000 1
Rb1 Rb 0.500 0.250 0.750 1
Rb2 Rb 0.250 0.750 0.500 1
Rb3 Rb 0.750 0.250 0.500 1
Rb4 Rb 0.250 0.500 0.750 1
Rb5 Rb 0.750 0.500 0.250 1
Rb6 Rb 0.500 0.750 0.250 1
```

Record 7
Here is crystalline Cd3HOs at its relaxed geometry from Alexandria. Energies are from GGA-PBE.

**Energy above the lowest structure with this stoichiometry**: 0.0000 eV per atom
**DOS at the Fermi energy**: 0.296 states/eV per atom

```
data_Cd3HOs
_cell_length_a 4.284
_cell_length_b 4.284
_cell_length_c 4.284
_cell_angle_alpha 90.00
_cell_angle_beta 90.00
_cell_angle_gamma 90.00
_symmetry_space_group_name_H-M 'P 1'
_symmetry_Int_Tables_number 1
loop_
_symmetry_equiv_pos_as_xyz
'x,y,z'
loop_
_atom_site_label
_atom_site_type_symbol
_atom_site_fract_x
_atom_site_fract_y
_atom_site_fract_z
_atom_site_occupancy
H1 H 0.000 0.000 0.000 1
Cd1 Cd 0.000 0.000 0.500 1
Cd2 Cd 0.500 0.000 0.000 1
Cd3 Cd 0.000 0.500 0.000 1
Os1 Os 0.500 0.500 0.500 1
```

Record 8
Here is crystalline NaDyAs2Pd5 at its relaxed geometry from Alexandria. Energies are from GGA-PBE.

**Calculated formation energy**: -0.55 eV/atom
**DOS at the Fermi energy**: 0.407 states/eV per atom

```
data_NaDyAs2Pd5
_cell_length_a 4.473
_cell_length_b 4.473
_cell_length_c 8.075
_cell_angle_alpha 90.00
_cell_angle_beta 90.00
_cell_angle_gamma 90.00
_symmetry_space_group_name_H-M 'P 1'
_symmetry_Int_Tables_number 1
loop_
_symmetry_equiv_pos_as_xyz
'x,y,z'
loop_
_atom_site_label
_atom_site_type_symbol
_atom_site_fract_x
_atom_site_fract_y
_atom_site_fract_z
_atom_site_occupancy
As1 As 0.500 0.500 0.845 1
As2 As 0.500 0.500 0.155 1
Dy1 Dy 0.000 0.000 0.000 1
Pd1 Pd 0.000 0.500 0.276 1
Pd2 Pd 0.000 0.500 0.724 1
Pd3 Pd 0.500 0.500 0.500 1
Pd4 Pd 0.500 0.000 0.276 1
Pd5 Pd 0.500 0.000 0.724 1
Na1 Na 0.000 0.000 0.500 1
```